Entry 1:
Zn2PtCl: single point on PBEsol structure, meta-GGA SCAN.

Cell lengths 4.6365, 4.6365, 2.8554 Å; angles 90.00, 90.00, 90.00 degrees
Positions (direct):
Zn1 0.0000 0.5000 0.0000
Zn2 0.5000 0.0000 0.0000
Pt1 0.0000 0.0000 0.5000
Cl1 0.5000 0.5000 0.5000

Summary:
ΔE_f (raw) in kcal/mol of atoms: -6.4
Magnetic moment in μB per cell: 0.00
Volume in A^3/atom: 15.35

---

Entry 2:
Zn2PtCl: single point on PBEsol structure, meta-GGA SCAN.

Cell lengths 3.0601, 5.0509, 8.2506 Å; angles 90.00, 90.00, 90.00 degrees
Positions (direct):
Zn1 0.0000 0.0000 0.0000
Zn2 0.0000 0.5000 0.2472
Zn3 0.5000 0.0000 0.2472
Zn4 0.5000 0.5000 0.0000
Pt1 0.0000 0.0000 0.4840
Pt2 0.5000 0.5000 0.4840
Cl1 0.0000 0.5000 0.7829
Cl2 0.5000 0.0000 0.7829

Summary:
ΔE_f (raw) in kcal/mol of atoms: -0.9
Magnetic moment in μB per cell: 0.00
Volume in A^3/atom: 15.94

---

Entry 3:
ZrPt3Cl: single point on PBEsol structure, meta-GGA SCAN.

Cell lengths 4.4989, 4.4989, 4.4989 Å; angles 90.00, 90.00, 90.00 degrees
Positions (direct):
Zr1 0.0000 0.0000 0.0000
Pt1 0.0000 0.5000 0.5000
Pt2 0.5000 0.0000 0.5000
Pt3 0.5000 0.5000 0.0000
Cl1 0.5000 0.5000 0.5000

Summary:
ΔE_f (raw) in kcal/mol of atoms: 13.2
Magnetic moment in μB per cell: 0.00
Volume in A^3/atom: 18.21

---

Entry 4:
PuCl3: single point on PBEsol structure, meta-GGA SCAN.

Cell lengths 7.2787, 7.2787, 4.1108 Å; angles 90.00, 90.00, 120.00 degrees
Positions (direct):
Pu1 0.3333 0.6667 0.2500
Pu2 0.6667 0.3333 0.7500
Cl1 0.0848 0.3867 0.7500
Cl2 0.3019 0.9152 0.7500
Cl3 0.3867 0.3019 0.2500
Cl4 0.6133 0.6981 0.7500
Cl5 0.6981 0.0848 0.2500
Cl6 0.9152 0.6133 0.2500

Summary:
ΔE_f (raw) in kcal/mol of atoms: -46.9
Magnetic moment in μB per cell: 10.00
Volume in A^3/atom: 23.58

---

Entry 5:
RbReCl4: single point on PBEsol structure, meta-GGA SCAN.

Cell lengths 9.0709, 9.0709, 12.1435 Å; angles 90.00, 90.00, 108.89 degrees
Positions (direct):
Rb1 0.2483 0.7517 0.7500
Rb2 0.2530 0.2530 0.0000
Rb3 0.2530 0.2530 0.5000
Rb4 0.7470 0.7470 0.0000
Rb5 0.7470 0.7470 0.5000
Rb6 0.7517 0.2483 0.2500
Re1 0.1439 0.8561 0.2500
Re2 0.2877 0.7123 0.1489
Re3 0.2877 0.7123 0.3511
Re4 0.7123 0.2877 0.6489
Re5 0.7123 0.2877 0.8511
Re6 0.8561 0.1439 0.7500
Cl1 0.0294 0.9706 0.7500
Cl2 0.0875 0.4834 0.1219
Cl3 0.0875 0.4834 0.3781
Cl4 0.1000 0.3317 0.7500
Cl5 0.1452 0.8548 0.0514
Cl6 0.1452 0.8548 0.4486
Cl7 0.3317 0.1000 0.2500
Cl8 0.3738 0.6262 0.5345
Cl9 0.3738 0.6262 0.9655
Cl10 0.4275 0.5725 0.2500
Cl11 0.4834 0.0875 0.6219
Cl12 0.4834 0.0875 0.8781
Cl13 0.5166 0.9125 0.1219
Cl14 0.5166 0.9125 0.3781
Cl15 0.5725 0.4275 0.7500
Cl16 0.6262 0.3738 0.0345
Cl17 0.6262 0.3738 0.4655
Cl18 0.6683 0.9000 0.7500
Cl19 0.8548 0.1452 0.5514
Cl20 0.8548 0.1452 0.9486
Cl21 0.9000 0.6683 0.2500
Cl22 0.9125 0.5166 0.6219
Cl23 0.9125 0.5166 0.8781
Cl24 0.9706 0.0294 0.2500

Summary:
ΔE_f (raw) in kcal/mol of atoms: -28.8
Magnetic moment in μB per cell: 0.00
Volume in A^3/atom: 26.26

---

Entry 6:
RbZr2ReCl: single point on PBEsol structure, meta-GGA SCAN.

Cell lengths 4.9206, 4.9206, 4.4884 Å; angles 90.00, 90.00, 90.00 degrees
Positions (direct):
Rb1 0.0000 0.0000 0.0000
Zr1 0.0000 0.5000 0.5000
Zr2 0.5000 0.0000 0.5000
Re1 0.5000 0.5000 0.0000
Cl1 0.5000 0.5000 0.5000

Summary:
ΔE_f (raw) in kcal/mol of atoms: 24.8
Magnetic moment in μB per cell: 0.00
Volume in A^3/atom: 21.74

---

Entry 7:
Rb3RuCl: single point on PBEsol structure, meta-GGA SCAN.

Cell lengths 6.0986, 6.0986, 6.0986 Å; angles 90.00, 90.00, 90.00 degrees
Positions (direct):
Rb1 0.0000 0.0000 0.5000
Rb2 0.0000 0.5000 0.0000
Rb3 0.5000 0.0000 0.0000
Ru1 0.5000 0.5000 0.5000
Cl1 0.0000 0.0000 0.0000

Summary:
ΔE_f (raw) in kcal/mol of atoms: 0.4
Magnetic moment in μB per cell: 2.10
Volume in A^3/atom: 45.37

---

Entry 8:
RbRuS2Cl: single point on PBEsol structure, meta-GGA SCAN.

Cell lengths 5.2355, 5.2355, 5.5229 Å; angles 90.00, 90.00, 90.00 degrees
Positions (direct):
Rb1 0.0000 0.0000 0.0000
Ru1 0.5000 0.5000 0.5000
S1 0.0000 0.5000 0.0000
S2 0.5000 0.0000 0.0000
Cl1 0.0000 0.0000 0.5000

Summary:
ΔE_f (raw) in kcal/mol of atoms: 34.6
Magnetic moment in μB per cell: 4.27
Volume in A^3/atom: 30.28

---

Entry 9:
RbSbS2Cl: single point on PBEsol structure, meta-GGA SCAN.

Cell lengths 5.0533, 5.0533, 5.3868 Å; angles 90.00, 90.00, 90.00 degrees
Positions (direct):
Rb1 0.0000 0.0000 0.0000
Sb1 0.5000 0.5000 0.5000
S1 0.0000 0.5000 0.5000
S2 0.5000 0.0000 0.5000
Cl1 0.5000 0.5000 0.0000

Summary:
ΔE_f (raw) in kcal/mol of atoms: -16.8
Magnetic moment in μB per cell: 0.00
Volume in A^3/atom: 27.51

---

Entry 10:
RbSiSCl2: single point on PBEsol structure, meta-GGA SCAN.

Cell lengths 5.0333, 5.0333, 4.5171 Å; angles 90.00, 90.00, 90.00 degrees
Positions (direct):
Rb1 0.0000 0.0000 0.0000
Si1 0.5000 0.5000 0.5000
S1 0.5000 0.5000 0.0000
Cl1 0.0000 0.5000 0.5000
Cl2 0.5000 0.0000 0.5000

Summary:
ΔE_f (raw) in kcal/mol of atoms: -23.7
Magnetic moment in μB per cell: 0.00
Volume in A^3/atom: 22.89

---

Entry 11:
RbTcSCl2: single point on PBEsol structure, meta-GGA SCAN.

Cell lengths 5.5687, 5.5687, 5.2509 Å; angles 90.00, 90.00, 90.00 degrees
Positions (direct):
Rb1 0.0000 0.0000 0.0000
Tc1 0.5000 0.5000 0.5000
S1 0.0000 0.0000 0.5000
Cl1 0.0000 0.5000 0.0000
Cl2 0.5000 0.0000 0.0000

Summary:
ΔE_f (raw) in kcal/mol of atoms: 17.4
Magnetic moment in μB per cell: 5.16
Volume in A^3/atom: 32.57

---

Entry 12:
Rb3SbCl: single point on PBEsol structure, meta-GGA SCAN.

Cell lengths 6.0863, 6.0863, 6.0863 Å; angles 90.00, 90.00, 90.00 degrees
Positions (direct):
Rb1 0.0000 0.0000 0.5000
Rb2 0.0000 0.5000 0.0000
Rb3 0.5000 0.0000 0.0000
Sb1 0.5000 0.5000 0.5000
Cl1 0.0000 0.0000 0.0000

Summary:
ΔE_f (raw) in kcal/mol of atoms: -22.2
Magnetic moment in μB per cell: 1.00
Volume in A^3/atom: 45.09

---

Entry 13:
RbSb2Cl2: single point on PBEsol structure, meta-GGA SCAN.

Cell lengths 9.5653, 9.5653, 3.1840 Å; angles 90.00, 90.00, 90.00 degrees
Positions (direct):
Rb1 0.0000 0.0000 0.0000
Rb2 0.5000 0.5000 0.0000
Sb1 0.2129 0.2871 0.5000
Sb2 0.2871 0.7871 0.5000
Sb3 0.7129 0.2129 0.5000
Sb4 0.7871 0.7129 0.5000
Cl1 0.1242 0.6242 0.0000
Cl2 0.3758 0.1242 0.0000
Cl3 0.6242 0.8758 0.0000
Cl4 0.8758 0.3758 0.0000

Summary:
ΔE_f (raw) in kcal/mol of atoms: -6.2
Magnetic moment in μB per cell: 0.00
Volume in A^3/atom: 29.13

---

Entry 14:
Rb2TlSbCl6: single point on PBEsol structure, meta-GGA SCAN.

Cell lengths 7.8662, 7.8662, 7.8662 Å; angles 60.00, 60.00, 60.00 degrees
Positions (direct):
Rb1 0.2500 0.2500 0.2500
Rb2 0.7500 0.7500 0.7500
Tl1 0.0000 0.0000 0.0000
Sb1 0.5000 0.5000 0.5000
Cl1 0.2641 0.2641 0.7359
Cl2 0.2641 0.7359 0.2641
Cl3 0.2641 0.7359 0.7359
Cl4 0.7359 0.2641 0.2641
Cl5 0.7359 0.2641 0.7359
Cl6 0.7359 0.7359 0.2641

Summary:
ΔE_f (raw) in kcal/mol of atoms: -33.2
Magnetic moment in μB per cell: 0.00
Volume in A^3/atom: 34.42

---

Entry 15:
Rb3ScCl6: single point on PBEsol structure, meta-GGA SCAN.

Cell lengths 7.7578, 7.7578, 7.7578 Å; angles 60.00, 60.00, 60.00 degrees
Positions (direct):
Rb1 0.0000 0.0000 0.0000
Rb2 0.2500 0.2500 0.2500
Rb3 0.7500 0.7500 0.7500
Sc1 0.5000 0.5000 0.5000
Cl1 0.2755 0.2755 0.7245
Cl2 0.2755 0.7245 0.2755
Cl3 0.2755 0.7245 0.7245
Cl4 0.7245 0.2755 0.2755
Cl5 0.7245 0.2755 0.7245
Cl6 0.7245 0.7245 0.2755

Summary:
ΔE_f (raw) in kcal/mol of atoms: -52.1
Magnetic moment in μB per cell: 0.00
Volume in A^3/atom: 33.01

---

Entry 16:
RbSc2Cl: single point on PBEsol structure, meta-GGA SCAN.

Cell lengths 7.4947, 7.4947, 7.4947 Å; angles 90.00, 90.00, 90.00 degrees
Positions (direct):
Rb1 0.0000 0.0000 0.0000
Rb2 0.0000 0.5000 0.5000
Rb3 0.5000 0.0000 0.5000
Rb4 0.5000 0.5000 0.0000
Sc1 0.2500 0.2500 0.2500
Sc2 0.2500 0.2500 0.7500
Sc3 0.2500 0.7500 0.2500
Sc4 0.2500 0.7500 0.7500
Sc5 0.7500 0.2500 0.2500
Sc6 0.7500 0.2500 0.7500
Sc7 0.7500 0.7500 0.2500
Sc8 0.7500 0.7500 0.7500
Cl1 0.0000 0.0000 0.5000
Cl2 0.0000 0.5000 0.0000
Cl3 0.5000 0.0000 0.0000
Cl4 0.5000 0.5000 0.5000

Summary:
ΔE_f (raw) in kcal/mol of atoms: 16.3
Magnetic moment in μB per cell: 0.00
Volume in A^3/atom: 26.31

---

Entry 17:
Rb2ScTlCl6: single point on PBEsol structure, meta-GGA SCAN.

Cell lengths 7.6833, 7.6833, 7.6833 Å; angles 60.00, 60.00, 60.00 degrees
Positions (direct):
Rb1 0.2500 0.2500 0.2500
Rb2 0.7500 0.7500 0.7500
Sc1 0.0000 0.0000 0.0000
Tl1 0.5000 0.5000 0.5000
Cl1 0.2267 0.2267 0.7733
Cl2 0.2267 0.7733 0.2267
Cl3 0.2267 0.7733 0.7733
Cl4 0.7733 0.2267 0.2267
Cl5 0.7733 0.2267 0.7733
Cl6 0.7733 0.7733 0.2267

Summary:
ΔE_f (raw) in kcal/mol of atoms: -47.1
Magnetic moment in μB per cell: 0.00
Volume in A^3/atom: 32.07

---

Entry 18:
Rb2Se2Cl: single point on PBEsol structure, meta-GGA SCAN.

Cell lengths 3.9686, 3.9686, 18.6136 Å; angles 90.00, 90.00, 90.00 degrees
Positions (direct):
Rb1 0.0000 0.0000 0.1000
Rb2 0.0000 0.0000 0.9000
Rb3 0.5000 0.5000 0.4000
Rb4 0.5000 0.5000 0.6000
Se1 0.0000 0.5000 0.2500
Se2 0.0000 0.5000 0.7500
Se3 0.5000 0.0000 0.2500
Se4 0.5000 0.0000 0.7500
Cl1 0.0000 0.0000 0.5000
Cl2 0.5000 0.5000 0.0000

Summary:
ΔE_f (raw) in kcal/mol of atoms: -29.4
Magnetic moment in μB per cell: 0.00
Volume in A^3/atom: 29.32

---

Entry 19:
Rb2SeCl6: single point on PBEsol structure, meta-GGA SCAN.

Cell lengths 7.0480, 7.0480, 7.0480 Å; angles 60.00, 60.00, 60.00 degrees
Positions (direct):
Rb1 0.2500 0.2500 0.2500
Rb2 0.7500 0.7500 0.7500
Se1 0.0000 0.0000 0.0000
Cl1 0.2411 0.2411 0.7589
Cl2 0.2411 0.7589 0.2411
Cl3 0.2411 0.7589 0.7589
Cl4 0.7589 0.2411 0.2411
Cl5 0.7589 0.2411 0.7589
Cl6 0.7589 0.7589 0.2411

Summary:
ΔE_f (raw) in kcal/mol of atoms: -29.7
Magnetic moment in μB per cell: 0.00
Volume in A^3/atom: 27.51

---

Entry 20:
RbZnSiCl2: single point on PBEsol structure, meta-GGA SCAN.

Cell lengths 5.4086, 5.4086, 4.5704 Å; angles 90.00, 90.00, 90.00 degrees
Positions (direct):
Rb1 0.0000 0.0000 0.0000
Zn1 0.5000 0.5000 0.5000
Si1 0.5000 0.5000 0.0000
Cl1 0.0000 0.5000 0.5000
Cl2 0.5000 0.0000 0.5000

Summary:
ΔE_f (raw) in kcal/mol of atoms: -12.4
Magnetic moment in μB per cell: 1.00
Volume in A^3/atom: 26.74